Record 1
DFT (PBEsol) results for a geometry-optimized GaBi2Br structure.

Summary:
Formation energy from raw total energies in eV/atom: 0.016

```
GaBi2Br
1.0
-2.467 4.561 0.661
-4.442 0.967 -2.581
-4.541 0.165 2.584
Ga Bi Br
1 2 1
direct
0.000 0.000 0.000
0.250 0.250 0.250
0.750 0.750 0.750
0.500 0.500 0.500
```

Record 2
DFT (PBEsol) results for a geometry-optimized Na2GaBiBr structure.

Summary:
Formation energy from raw total energies in eV/atom: 0.215

```
Na2GaBiBr
1.0
5.237 0.000 0.000
0.000 5.816 0.000
0.000 0.000 5.816
Na Ga Bi Br
2 1 1 1
direct
0.000 0.000 0.500
0.000 0.500 0.000
0.000 0.000 0.000
0.500 0.500 0.500
0.500 0.000 0.000
```

Record 3
DFT (PBEsol) results for a geometry-optimized GaTc2BiBr structure.

Summary:
Formation energy from raw total energies in eV/atom: 1.384

```
GaTc2BiBr
1.0
4.794 0.000 0.000
0.000 4.794 0.000
0.000 0.000 4.839
Ga Bi Br Tc
1 1 1 2
direct
0.000 0.000 0.000
0.500 0.500 0.500
0.000 0.000 0.500
0.000 0.500 0.000
0.500 0.000 0.000
```

Record 4
DFT (PBEsol) results for a geometry-optimized TiGaBi2Br structure.

Summary:
Formation energy from raw total energies in eV/atom: 0.089

```
TiGaBi2Br
1.0
-4.245 2.607 1.312
-2.936 -4.271 -1.015
0.575 -1.584 5.005
Ga Bi Br Ti
1 2 1 1
direct
0.500 0.000 0.000
0.000 0.000 0.500
0.000 0.500 0.000
0.500 0.500 0.500
0.000 0.000 0.000
```

Record 5
DFT (PBEsol) results for a geometry-optimized Ge2Bi2Br structure.

Summary:
Formation energy from raw total energies in eV/atom: -0.048

```
Ge2Bi2Br
1.0
-2.493 -3.172 -1.652
1.086 -2.590 3.334
-5.015 5.390 2.972
Ge Bi Br
2 2 1
direct
0.250 0.750 0.500
0.750 0.250 0.500
0.378 0.378 0.755
0.622 0.622 0.245
0.000 0.000 0.000
```

Record 6
DFT (PBEsol) results for a geometry-optimized NaGe2BiBr structure.

Summary:
Formation energy from raw total energies in eV/atom: 0.622

```
NaGe2BiBr
1.0
-4.519 1.315 2.249
-2.573 -2.959 -3.440
0.448 -4.487 3.524
Na Ge Bi Br
1 2 1 1
direct
0.500 0.500 0.500
0.000 0.500 0.000
0.500 0.000 0.000
0.000 0.000 0.500
0.000 0.000 0.000
```

Record 7
DFT (PBEsol) results for a geometry-optimized Ge2BiPtBr structure.

Summary:
Formation energy from raw total energies in eV/atom: 1.385

```
Ge2BiPtBr
1.0
5.288 0.000 0.000
0.000 5.433 0.000
0.000 0.000 5.433
Ge Br Bi Pt
2 1 1 1
direct
0.000 0.000 0.500
0.000 0.500 0.000
0.500 0.000 0.000
0.000 0.000 0.000
0.500 0.500 0.500
```

Record 8
DFT (PBEsol) results for a geometry-optimized GeBiRhBr2 structure.

Summary:
Formation energy from raw total energies in eV/atom: 1.162

```
GeBiRhBr2
1.0
5.456 0.000 0.000
0.000 5.456 0.000
0.000 0.000 5.732
Ge Rh Bi Br
1 1 1 2
direct
0.000 0.000 0.500
0.500 0.500 0.500
0.000 0.000 0.000
0.000 0.500 0.000
0.500 0.000 0.000
```

Record 9
DFT (PBEsol) results for a geometry-optimized Bi3HBr structure.

Summary:
Uncorrected energy in eV per atom: -2.338

```
Bi3HBr
1.0
5.695 0.000 0.000
0.000 5.695 0.000
0.000 0.000 5.695
H Bi Br
1 3 1
direct
0.500 0.500 0.500
0.000 0.500 0.000
0.000 0.000 0.500
0.500 0.000 0.000
0.000 0.000 0.000
```

Record 10
DFT (PBEsol) results for a geometry-optimized BiH3Br structure.

Summary:
Uncorrected energy in eV per atom: -2.251

```
BiH3Br
1.0
-1.916 3.278 -1.169
0.052 -1.308 -3.751
-3.480 -1.824 0.588
H Bi Br
3 1 1
direct
0.000 0.500 0.000
0.000 0.000 0.500
0.500 0.000 0.000
0.500 0.500 0.500
0.000 0.000 0.000
```

Record 11
DFT (PBEsol) results for a geometry-optimized BiH2Br structure.

Summary:
Uncorrected energy in eV per atom: -2.994

```
BiH2Br
1.0
4.721 0.000 0.000
0.000 4.721 0.000
-2.360 -2.360 6.448
H Bi Br
4 2 2
direct
0.625 0.875 0.750
0.125 0.875 0.750
0.125 0.875 0.250
0.125 0.375 0.250
0.000 0.000 0.000
0.250 0.750 0.500
0.500 0.500 0.000
0.750 0.250 0.500
```

Record 12
DFT (PBEsol) results for a geometry-optimized Hf2BiPbBr structure.

Summary:
Formation energy from raw total energies in eV/atom: 1.115

```
Hf2BiPbBr
1.0
5.432 0.000 0.000
0.000 5.498 0.000
0.000 0.000 5.498
Pb Hf Bi Br
1 2 1 1
direct
0.500 0.500 0.500
0.000 0.000 0.500
0.000 0.500 0.000
0.000 0.000 0.000
0.500 0.000 0.000
```

Record 13
DFT (PBEsol) results for a geometry-optimized HfBiSeBr2 structure.

Summary:
Formation energy from raw total energies in eV/atom: -0.368

```
HfBiSeBr2
1.0
5.173 0.000 0.000
0.000 5.138 0.000
0.000 0.000 5.138
Se Hf Bi Br
1 1 1 2
direct
0.500 0.000 0.000
0.000 0.000 0.000
0.500 0.500 0.500
0.000 0.000 0.500
0.000 0.500 0.000
```

Record 14
DFT (PBEsol) results for a geometry-optimized Hf2TcBiBr structure.

Summary:
Formation energy from raw total energies in eV/atom: 0.464

```
Hf2TcBiBr
1.0
4.651 0.000 0.000
0.000 5.079 0.000
0.000 0.000 5.079
Hf Bi Br Tc
2 1 1 1
direct
0.000 0.000 0.500
0.000 0.500 0.000
0.500 0.500 0.500
0.500 0.000 0.000
0.000 0.000 0.000
```

Record 15
DFT (PBEsol) results for a geometry-optimized K2HgBiBr6 structure.

Summary:
Formation energy from raw total energies in eV/atom: -0.969

```
K2HgBiBr6
1.0
8.049 0.000 0.000
4.025 6.971 0.000
4.025 2.324 6.572
K Hg Bi Br
2 1 1 6
direct
0.750 0.750 0.750
0.250 0.250 0.250
0.500 0.500 0.500
0.000 0.000 0.000
0.751 0.249 0.249
0.751 0.751 0.249
0.249 0.751 0.751
0.751 0.249 0.751
0.249 0.751 0.249
0.249 0.249 0.751
```

Record 16
DFT (PBEsol) results for a geometry-optimized Bi2IBr structure.

Summary:
Formation energy from raw total energies in eV/atom: -0.350

```
Bi2IBr
1.0
-0.636 -3.394 -2.524
6.843 -0.807 2.984
-15.344 -13.043 21.407
Bi I Br
12 6 6
direct
0.364 0.727 0.657
0.636 0.273 0.343
0.357 0.715 0.760
0.643 0.285 0.240
0.677 0.355 0.003
0.323 0.645 0.997
0.034 0.068 0.567
0.966 0.932 0.433
0.013 0.026 0.669
0.987 0.974 0.331
0.611 0.222 0.899
0.389 0.778 0.101
0.247 0.493 0.871
0.753 0.507 0.129
0.703 0.406 0.740
0.297 0.594 0.260
0.973 0.946 0.926
0.027 0.054 0.074
0.669 0.338 0.595
0.331 0.662 0.405
0.994 0.987 0.787
0.006 0.013 0.213
0.400 0.799 0.540
0.600 0.201 0.460
```

Record 17
DFT (PBEsol) results for a geometry-optimized Bi2IBr structure.

Summary:
Formation energy from raw total energies in eV/atom: 0.118

```
Bi2IBr
1.0
-3.156 4.408 0.790
-1.971 1.099 4.992
1.928 4.279 2.825
I Bi Br
1 2 1
direct
0.500 0.500 0.500
0.250 0.250 0.250
0.750 0.750 0.750
0.000 0.000 0.000
```

Record 18
DFT (PBEsol) results for a geometry-optimized BiOs2IBr structure.

Summary:
Formation energy from raw total energies in eV/atom: 2.296

```
BiOs2IBr
1.0
-1.418 -4.003 -2.212
0.900 -2.515 3.974
-5.740 0.974 1.917
I Os Bi Br
1 2 1 1
direct
0.000 0.000 0.000
0.000 0.500 0.000
0.500 0.000 0.000
0.000 0.000 0.500
0.500 0.500 0.500
```

Record 19
DFT (PBEsol) results for a geometry-optimized BiSe2IBr structure.

Summary:
Formation energy from raw total energies in eV/atom: 0.334

```
BiSe2IBr
1.0
-0.677 4.735 2.660
-1.280 -2.788 4.638
5.367 -0.048 1.452
I Se Bi Br
1 2 1 1
direct
0.500 0.500 0.500
0.000 0.000 0.500
0.000 0.500 0.000
0.000 0.000 0.000
0.500 0.000 0.000
```

Record 20
DFT (PBEsol) results for a geometry-optimized InBiBr2 structure.

Summary:
Formation energy from raw total energies in eV/atom: -0.228

```
InBiBr2
1.0
-2.059 -0.495 4.382
2.923 -3.775 0.946
6.386 8.395 1.247
Bi Br In
2 4 2
direct
0.250 0.750 0.500
0.000 0.000 0.000
0.884 0.375 0.250
0.366 0.875 0.250
0.625 0.634 0.750
0.125 0.116 0.750
0.750 0.250 0.500
0.500 0.500 0.000
```

Number 1: volume 101.0 Å³ per cell, total magnetic moment 0.0 μB/f.u.. Number 2: volume 177.2 Å³ per cell, total magnetic moment 1.3 μB/f.u.. Number 3: volume 111.2 Å³ per cell, total magnetic moment 4.2 μB/f.u.. Number 4: volume 143.7 Å³ per cell, total magnetic moment 0.0 μB/f.u.. Number 5: volume 139.1 Å³ per cell, total magnetic moment 0.0 μB/f.u.. Number 6: volume 155.7 Å³ per cell, total magnetic moment 0.0 μB/f.u.. Number 7: volume 156.1 Å³ per cell, total magnetic moment 0.0 μB/f.u.. Number 8: volume 170.6 Å³ per cell, total magnetic moment 1.4 μB/f.u.. Number 9: volume 184.7 Å³ per cell, total magnetic moment 0.6 μB/f.u.. Number 10: volume 62.7 Å³ per cell, total magnetic moment 0.0 μB/f.u.. Number 11: volume 143.7 Å³ per cell, total magnetic moment 0.0 μB/f.u.. Number 12: volume 164.2 Å³ per cell, total magnetic moment 0.0 μB/f.u.. Number 13: volume 136.6 Å³ per cell, total magnetic moment 0.0 μB/f.u.. Number 14: volume 120.0 Å³ per cell, total magnetic moment 0.0 μB/f.u.. Number 15: volume 368.8 Å³ per cell, total magnetic moment 0.0 μB/f.u.. Number 16: volume 895.4 Å³ per cell, total magnetic moment 0.0 μB/f.u.. Number 17: volume 116.3 Å³ per cell, total magnetic moment 0.0 μB/f.u.. Number 18: volume 140.6 Å³ per cell, total magnetic moment 1.6 μB/f.u.. Number 19: volume 169.2 Å³ per cell, total magnetic moment 1.8 μB/f.u.. Number 20: volume 238.0 Å³ per cell, total magnetic moment 0.0 μB/f.u..